(1)
MnBe2Cr | PBE | relaxed

Unit cell a=2.359 b=3.538 c=4.804 alpha=90.00 beta=90.00 gamma=90.00
Fractional coordinates of all 4 atoms:
Cr1 0.000 0.000 0.508
Be1 0.500 0.500 0.231
Mn1 0.500 0.500 0.747
Be2 0.000 0.000 0.014

Values from the calculation:
The value obtained for the energy is -6.42 eV/atom. Its density of states at the Fermi level is 0.8574 states/eV/atom.

---

(2)
La4Sn2Os | PBE | relaxed

Unit cell a=4.784 b=6.392 c=8.121 alpha=75.35 beta=72.87 gamma=68.03
Fractional coordinates of all 7 atoms:
La1 0.930 0.791 0.348
Os1 0.000 0.000 0.000
La2 0.070 0.209 0.652
Sn1 0.645 0.367 0.343
La3 0.330 0.283 0.057
La4 0.670 0.717 0.943
Sn2 0.355 0.633 0.657

Values from the calculation:
The value obtained for the energy is -6.12 eV/atom. Its density of states at the Fermi level is 0.7324 states/eV/atom.

---

(3)
Mg4Si3 | PBE | relaxed

Unit cell a=6.059 b=7.329 c=7.417 alpha=107.08 beta=109.44 gamma=106.64
Fractional coordinates of all 14 atoms:
Mg1 0.795 0.645 0.637
Mg2 0.248 0.070 0.707
Mg3 0.752 0.930 0.293
Si1 0.440 0.801 0.471
Si2 0.560 0.199 0.529
Mg4 0.600 0.268 0.187
Mg5 0.400 0.732 0.813
Si3 0.682 0.504 0.955
Mg6 0.848 0.131 0.887
Mg7 0.205 0.355 0.363
Mg8 0.152 0.869 0.113
Si4 0.983 0.666 0.346
Si5 0.017 0.334 0.654
Si6 0.318 0.496 0.045

Values from the calculation:
The value obtained for the energy is -3.18 eV/atom. Its density of states at the Fermi level is 0.2726 states/eV/atom. The uncorrected formation energy is 5 kJ per mole of atoms.

---

(4)
YFe2Os2 | PBE | relaxed

Unit cell a=4.109 b=4.109 c=5.826 alpha=69.35 beta=69.35 gamma=90.00
Fractional coordinates of all 5 atoms:
Fe1 0.750 0.250 0.500
Os1 0.619 0.619 0.761
Y1 0.000 0.000 0.000
Os2 0.381 0.381 0.239
Fe2 0.250 0.750 0.500

Values from the calculation:
The value obtained for the energy is -9.13 eV/atom. Its density of states at the Fermi level is 1.1879 states/eV/atom.

---

(5)
Nd8IrRh2 | PBE | relaxed

Unit cell a=6.450 b=7.706 c=7.706 alpha=113.69 beta=101.43 gamma=101.43
Fractional coordinates of all 11 atoms:
Nd1 0.590 0.086 0.351
Ir1 0.183 0.006 0.006
Nd2 0.798 0.650 0.650
Nd3 0.364 0.655 0.919
Nd4 0.364 0.919 0.655
Nd5 0.984 0.798 0.201
Nd6 0.984 0.201 0.798
Nd7 0.175 0.355 0.355
Rh1 0.484 0.319 0.692
Rh2 0.484 0.692 0.319
Nd8 0.590 0.351 0.086

Values from the calculation:
The value obtained for the energy is -5.95 eV/atom. Its density of states at the Fermi level is 0.9692 states/eV/atom.

---

(6)
TeAs2Rh | PBE | relaxed

Unit cell a=8.033 b=8.033 c=8.033 alpha=25.26 beta=25.26 gamma=25.26
Fractional coordinates of all 4 atoms:
Rh1 0.250 0.250 0.250
As1 0.981 0.981 0.981
Te1 0.750 0.750 0.750
As2 0.519 0.519 0.519

Values from the calculation:
The value obtained for the energy is -4.98 eV/atom. Its density of states at the Fermi level is 0.5447 states/eV/atom. The uncorrected formation energy is -3 kJ per mole of atoms.

---

(7)
CeZnPS | PBE | relaxed

Unit cell a=4.319 b=4.319 c=11.101 alpha=78.78 beta=78.78 gamma=60.00
Fractional coordinates of all 8 atoms:
P1 0.619 0.619 0.142
Zn1 0.305 0.305 0.086
P2 0.381 0.381 0.858
Ce1 0.103 0.103 0.690
Zn2 0.695 0.695 0.914
Ce2 0.897 0.897 0.310
S1 0.198 0.198 0.407
S2 0.802 0.802 0.593

Values from the calculation:
The value obtained for the energy is -5.27 eV/atom. Its density of states at the Fermi level is 1.6871 states/eV/atom. The uncorrected formation energy is -105 kJ per mole of atoms.

---

(8)
CaZn3Sb3 | PBE | relaxed

Unit cell a=4.279 b=10.800 c=10.798 alpha=120.02 beta=90.00 gamma=90.00
Fractional coordinates of all 14 atoms:
Sb1 0.750 0.411 0.311
Ca1 0.250 0.667 0.333
Zn1 0.250 0.581 0.931
Sb2 0.750 0.900 0.590
Zn2 0.750 0.650 0.581
Sb3 0.250 0.100 0.410
Zn3 0.750 0.930 0.350
Zn4 0.250 0.070 0.650
Ca2 0.750 0.333 0.667
Sb4 0.250 0.589 0.689
Sb5 0.250 0.311 0.900
Zn5 0.250 0.350 0.419
Zn6 0.750 0.419 0.069
Sb6 0.750 0.689 0.100

Values from the calculation:
The value obtained for the energy is -2.83 eV/atom. Its density of states at the Fermi level is 0.4447 states/eV/atom. The uncorrected formation energy is -23 kJ per mole of atoms.

---

Copy entry 3 word for word.
Mg4Si3 | PBE | relaxed

Unit cell a=6.059 b=7.329 c=7.417 alpha=107.08 beta=109.44 gamma=106.64
Fractional coordinates of all 14 atoms:
Mg1 0.795 0.645 0.637
Mg2 0.248 0.070 0.707
Mg3 0.752 0.930 0.293
Si1 0.440 0.801 0.471
Si2 0.560 0.199 0.529
Mg4 0.600 0.268 0.187
Mg5 0.400 0.732 0.813
Si3 0.682 0.504 0.955
Mg6 0.848 0.131 0.887
Mg7 0.205 0.355 0.363
Mg8 0.152 0.869 0.113
Si4 0.983 0.666 0.346
Si5 0.017 0.334 0.654
Si6 0.318 0.496 0.045

Values from the calculation:
The value obtained for the energy is -3.18 eV/atom. Its density of states at the Fermi level is 0.2726 states/eV/atom. The uncorrected formation energy is 5 kJ per mole of atoms.

---

- energy of number 2 (La4Sn2Os)?
  -6.12 eV/atom

---

- Which value of energy does entry 8 give?
  -2.83 eV/atom